Rb2CrAgHg: relaxed, PBE.

Values from the calculation:
density	3.73	g/cm³
ΔH_f (0 K)	0.49	eV per atom
space-group type	P4/mmm
magnetization	4.91	μB/f.u.
uncorrected energy	-2.456	eV per atom

Cell lengths 6.6648, 5.3236, 6.6648 Å; angles 90.00, 90.00, 90.00 degrees
Site moments in Bohr magnetons follow the coordinates.
Sites, in units of the cell vectors:
1 Cr 0.0000 0.5000 0.0000  4.16
2 Rb 0.0000 0.0000 0.5000  0.00
3 Rb 0.5000 0.0000 0.0000  0.00
4 Hg 0.5000 0.5000 0.5000  -0.01
5 Ag 0.0000 0.0000 0.0000  0.06